NaCaLaWO6 | GGA+U | relaxed

It has space group F-43m (No. 216), with a = 8.294 Å, b = 8.294 Å, c = 8.294 Å, α = 90.00°, β = 90.00° and γ = 90.00°. Symmetry generates all atoms from Na at (0.000, 0.000, 0.000), Ca at (0.250, 0.250, 0.750), La at (0.000, 0.000, 0.500), W at (0.250, 0.250, 0.250) and O at (0.017, 0.250, 0.250).

The calculation puts the total energy at -280.33 eV for the cell shown. The density of states at the Fermi level comes out at 0.0 states/eV/cell.